one | This record from Alexandria describes a relaxed structure of Al3VO. The functional is PBE+U.

The structure in POSCAR format:
```
Al3VO
1.0
4.933 0.000 0.000
0.000 4.933 0.000
0.000 0.000 4.933
Al V O
3 1 1
Direct
0.000 0.000 0.500 Al
0.000 0.500 0.000 Al
0.500 0.000 0.000 Al
0.000 0.000 0.000 V
0.500 0.500 0.500 O
```

Computed properties:
V = 120 Å³ per cell
SG = Pm-3m (221)
density of states at the Fermi level = 0.585 states/eV/atom

two | This record from Alexandria describes a relaxed structure of Al3VO. The functional is PBE+U.

The structure in POSCAR format:
```
Al3VO
1.0
4.046 0.000 0.000
0.000 4.046 0.000
0.000 0.000 4.046
Al V O
3 1 1
Direct
0.000 0.000 0.500 Al
0.000 0.500 0.000 Al
0.500 0.000 0.000 Al
0.500 0.500 0.500 V
0.000 0.000 0.000 O
```

Computed properties:
V = 66 Å³ per cell
SG = Pm-3m (221)
density of states at the Fermi level = 0.122 states/eV/atom

Most favorable structure: two. The second most favorable one is 1398 meV/atom above it.

one | This record from Alexandria describes a relaxed structure of AlVO2. The functional is PBE+U.

The structure in POSCAR format:
```
AlVO2
1.0
-2.375 2.375 4.360
2.375 -2.375 4.360
2.375 2.375 -4.360
Al V O
2 2 4
Direct
0.000 0.000 0.000 Al
0.750 0.250 0.500 Al
0.250 0.750 0.500 V
0.500 0.500 0.000 V
0.046 0.625 0.921 O
0.375 0.296 0.421 O
0.704 0.125 0.079 O
0.875 0.954 0.579 O
```

Computed properties:
V = 98 Å³ per cell
SG = I-42d (122)
density of states at the Fermi level = 0.116 states/eV/atom

two | This record from Alexandria describes a relaxed structure of AlVO2. The functional is PBE+U.

The structure in POSCAR format:
```
AlVO2
1.0
1.450 0.837 6.043
-1.450 0.837 6.043
0.000 -1.674 6.043
Al V O
1 1 2
Direct
0.000 0.000 0.000 Al
0.500 0.500 0.500 V
0.387 0.387 0.387 O
0.613 0.613 0.613 O
```

Computed properties:
V = 44 Å³ per cell
SG = R-3m (166)
density of states at the Fermi level = 0.536 states/eV/atom

Most favorable structure: two. The second most favorable one is 55 meV/atom above it.

one | This record from Alexandria describes a relaxed structure of AlVW2O8. The functional is PBE+U.

The structure in POSCAR format:
```
AlVW2O8
1.0
5.142 0.000 0.000
0.000 5.548 0.000
-5.097 0.000 9.208
Al V W O
2 2 4 16
Direct
0.000 0.157 0.250 Al
0.000 0.843 0.750 Al
0.500 0.141 0.750 V
0.500 0.859 0.250 V
0.253 0.335 0.001 W
0.253 0.665 0.501 W
0.747 0.335 0.499 W
0.747 0.665 0.999 W
0.202 0.378 0.609 O
0.202 0.622 0.109 O
0.210 0.127 0.143 O
0.210 0.873 0.643 O
0.264 0.114 0.866 O
0.264 0.886 0.366 O
0.299 0.378 0.382 O
0.299 0.622 0.882 O
0.701 0.378 0.118 O
0.701 0.622 0.618 O
0.736 0.114 0.634 O
0.736 0.886 0.134 O
0.790 0.127 0.357 O
0.790 0.873 0.857 O
0.798 0.378 0.891 O
0.798 0.622 0.391 O
```

Computed properties:
V = 263 Å³ per cell
SG = P2/c (13)
density of states at the Fermi level = 0.000 states/eV/atom

two | This record from Alexandria describes a relaxed structure of AlVW2O8. The functional is PBE+U.

The structure in POSCAR format:
```
AlVW2O8
1.0
5.018 0.000 0.000
1.676 5.249 0.000
0.405 1.512 5.333
Al V W O
1 1 2 8
Direct
0.000 0.000 0.000 Al
0.500 0.000 0.500 V
0.229 0.519 0.674 W
0.771 0.481 0.326 W
0.169 0.256 0.943 O
0.171 0.310 0.431 O
0.259 0.828 0.786 O
0.357 0.737 0.340 O
0.643 0.263 0.660 O
0.741 0.172 0.214 O
0.829 0.690 0.569 O
0.831 0.744 0.057 O
```

Computed properties:
V = 140 Å³ per cell
SG = P-1 (2)
density of states at the Fermi level = 0.000 states/eV/atom

Most favorable structure: one. The second most favorable one is 149 meV/atom above it.

one | This record from Alexandria describes a relaxed structure of AlW2O. The functional is PBE+U.

The structure in POSCAR format:
```
AlW2O
1.0
0.000 3.062 3.062
3.062 0.000 3.062
3.062 3.062 0.000
Al W O
1 2 1
Direct
0.000 0.000 0.000 Al
0.250 0.250 0.250 W
0.750 0.750 0.750 W
0.500 0.500 0.500 O
```

Computed properties:
V = 57 Å³ per cell
SG = Fm-3m (225)
density of states at the Fermi level = 0.453 states/eV/atom

two | This record from Alexandria describes a relaxed structure of AlW2O. The functional is PBE+U.

The structure in POSCAR format:
```
AlW2O
1.0
-3.294 3.294 3.058
3.294 -3.294 3.058
3.294 3.294 -3.058
Al W O
2 4 2
Direct
0.000 0.000 0.000 Al
0.750 0.250 0.500 Al
0.221 0.625 0.096 W
0.375 0.471 0.596 W
0.529 0.125 0.904 W
0.875 0.779 0.404 W
0.250 0.750 0.500 O
0.500 0.500 0.000 O
```

Computed properties:
V = 133 Å³ per cell
SG = I-42d (122)
density of states at the Fermi level = 0.930 states/eV/atom

Most favorable structure: two. The second most favorable one is 763 meV/atom above it.

one | This record from Alexandria describes a relaxed structure of Al2W3O12. The functional is PBE+U.

The structure in POSCAR format:
```
Al2W3O12
1.0
9.222 0.000 0.000
0.000 9.307 0.000
-9.218 0.000 12.889
Al W O
8 12 48
Direct
0.131 0.033 0.381 Al
0.131 0.467 0.881 Al
0.369 0.033 0.118 Al
0.369 0.467 0.618 Al
0.631 0.533 0.382 Al
0.631 0.967 0.882 Al
0.869 0.533 0.119 Al
0.869 0.967 0.619 Al
0.038 0.616 0.644 W
0.038 0.884 0.144 W
0.251 0.116 0.645 W
0.251 0.384 0.145 W
0.474 0.750 0.000 W
0.474 0.750 0.500 W
0.526 0.250 0.000 W
0.526 0.250 0.500 W
0.749 0.616 0.855 W
0.749 0.884 0.355 W
0.962 0.116 0.856 W
0.962 0.384 0.356 W
0.025 0.694 0.166 O
0.025 0.806 0.666 O
0.053 0.088 0.641 O
0.053 0.412 0.141 O
0.062 0.506 0.746 O
0.062 0.994 0.246 O
0.165 0.067 0.978 O
0.165 0.433 0.478 O
0.205 0.066 0.521 O
0.205 0.434 0.021 O
0.226 0.590 0.638 O
0.226 0.910 0.138 O
0.293 0.623 0.932 O
0.293 0.877 0.432 O
0.305 0.194 0.165 O
0.305 0.306 0.665 O
0.319 0.157 0.407 O
0.319 0.343 0.907 O
0.432 0.007 0.746 O
0.432 0.493 0.246 O
0.432 0.621 0.569 O
0.432 0.879 0.069 O
0.494 0.659 0.405 O
0.494 0.841 0.905 O
0.506 0.159 0.095 O
0.506 0.341 0.595 O
0.568 0.121 0.931 O
0.568 0.379 0.431 O
0.568 0.507 0.754 O
0.568 0.993 0.254 O
0.681 0.657 0.093 O
0.681 0.843 0.593 O
0.695 0.694 0.335 O
0.695 0.806 0.835 O
0.707 0.123 0.568 O
0.707 0.377 0.068 O
0.774 0.090 0.862 O
0.774 0.410 0.362 O
0.795 0.566 0.979 O
0.795 0.934 0.479 O
0.835 0.567 0.522 O
0.835 0.933 0.022 O
0.938 0.006 0.754 O
0.938 0.494 0.254 O
0.947 0.588 0.859 O
0.947 0.912 0.359 O
0.975 0.194 0.334 O
0.975 0.306 0.834 O
```

Computed properties:
V = 1106 Å³ per cell
SG = P2_1/c (14)
density of states at the Fermi level = 0.000 states/eV/atom

two | This record from Alexandria describes a relaxed structure of Al2W3O12. The functional is PBE+U.

The structure in POSCAR format:
```
Al2W3O12
1.0
4.638 0.000 0.000
0.175 5.494 0.000
0.241 0.386 7.578
Al W O
2 3 12
Direct
0.003 0.154 0.339 Al
0.997 0.846 0.661 Al
0.496 0.354 0.679 W
0.500 0.000 0.000 W
0.504 0.646 0.321 W
0.197 0.863 0.436 O
0.205 0.567 0.739 O
0.211 0.159 0.128 O
0.287 0.053 0.767 O
0.302 0.364 0.437 O
0.340 0.689 0.097 O
0.660 0.311 0.903 O
0.698 0.636 0.563 O
0.713 0.947 0.233 O
0.789 0.841 0.872 O
0.795 0.433 0.261 O
0.803 0.137 0.564 O
```

Computed properties:
V = 193 Å³ per cell
SG = P-1 (2)
density of states at the Fermi level = 0.000 states/eV/atom

Most favorable structure: one. The second most favorable one is 92 meV/atom above it.

one | This record from Alexandria describes a relaxed structure of Al3WO. The functional is PBE+U.

The structure in POSCAR format:
```
Al3WO
1.0
5.061 0.000 0.000
0.000 5.061 0.000
0.000 0.000 5.061
Al W O
3 1 1
Direct
0.000 0.000 0.500 Al
0.000 0.500 0.000 Al
0.500 0.000 0.000 Al
0.000 0.000 0.000 W
0.500 0.500 0.500 O
```

Computed properties:
V = 130 Å³ per cell
SG = Pm-3m (221)
density of states at the Fermi level = 0.634 states/eV/atom

two | This record from Alexandria describes a relaxed structure of Al3WO. The functional is PBE+U.

The structure in POSCAR format:
```
Al3WO
1.0
4.070 0.000 0.000
0.000 4.070 0.000
0.000 0.000 4.070
Al W O
3 1 1
Direct
0.000 0.000 0.500 Al
0.000 0.500 0.000 Al
0.500 0.000 0.000 Al
0.500 0.500 0.500 W
0.000 0.000 0.000 O
```

Computed properties:
V = 67 Å³ per cell
SG = Pm-3m (221)
density of states at the Fermi level = 0.559 states/eV/atom

Most favorable structure: two. The second most favorable one is 1554 meV/atom above it.